Entry 1:
SmFeB after structural relaxation, computed with PBE.

Computed properties:
E_form	-0.32	eV per atom
uncorrected energy	-6.936	eV per atom
symmetry	P4/nmm

a = 3.5816 Å, b = 3.5816 Å, c = 7.9275 Å
α = 90.00°, β = 90.00°, γ = 90.00°
Last column: magnetic moment on the atom in μB.
Atoms (fractional coordinates):
Fe: 0.5000 0.5000 0.5000  0.85
Fe: 0.0000 0.0000 0.5000  0.85
B: 0.5000 0.0000 0.6211  -0.05
B: 0.0000 0.5000 0.3789  -0.05
Sm: 0.5000 0.0000 0.2024  0.00
Sm: 0.0000 0.5000 0.7976  0.00

***

Entry 2:
SmFeB2 after structural relaxation, computed with PBE.

Computed properties:
E_form	-0.20	eV per atom
uncorrected energy	-6.836	eV per atom
symmetry	R-3m

a = 3.4933 Å, b = 3.4933 Å, c = 5.2069 Å
α = 70.40°, β = 70.40°, γ = 60.00°
Atoms (fractional coordinates):
B: 0.3088 0.3088 0.0736
B: 0.6912 0.6912 0.9264
Sm: 0.5000 0.5000 0.5000
Fe: 0.0000 0.0000 0.0000

***

Entry 3:
SmFeB14 after structural relaxation, computed with PBE.

Computed properties:
E_form	-0.15	eV per atom
uncorrected energy	-6.813	eV per atom
symmetry	Imma

a = 5.8392 Å, b = 7.3646 Å, c = 7.3646 Å
α = 68.73°, β = 66.64°, γ = 66.64°
Last column: magnetic moment on the atom in μB.
Atoms (fractional coordinates):
B: 0.5875 0.2451 0.5799  0.03
B: 0.1663 0.7995 0.8678  0.01
B: 0.8979 0.7802 0.1016  0.01
B: 0.3306 0.3733 0.4686  0.03
B: 0.6021 0.3984 0.7198  0.01
B: 0.6335 0.9995 0.7335  0.04
B: 0.8337 0.2005 0.1322  0.01
B: 0.6694 0.6267 0.5314  0.03
B: 0.2202 0.7802 0.1016  0.01
B: 0.6663 0.3678 0.2995  0.01
B: 0.3337 0.6322 0.7005  0.01
B: 0.7202 0.6016 0.2802  0.01
B: 0.6725 0.0314 0.1267  0.03
B: 0.3979 0.6016 0.2802  0.01
B: 0.3275 0.9686 0.8733  0.03
B: 0.1021 0.2198 0.8984  0.01
B: 0.2798 0.3984 0.7198  0.01
B: 0.8665 0.7665 0.5005  0.04
B: 0.8275 0.3733 0.4686  0.03
B: 0.1694 0.0314 0.1267  0.03
B: 0.1725 0.6267 0.5314  0.03
B: 0.0875 0.0799 0.7451  0.03
B: 0.1335 0.2335 0.4995  0.04
B: 0.9125 0.9201 0.2549  0.03
B: 0.4125 0.7549 0.4201  0.03
B: 0.3665 0.0005 0.2665  0.04
B: 0.7798 0.2198 0.8984  0.01
B: 0.8306 0.9686 0.8733  0.03
Sm: 0.7500 0.6191 0.8809  0.04
Sm: 0.2500 0.3809 0.1191  0.04
Fe: 0.5000 0.0000 0.5000  2.50
Fe: 0.0000 0.0000 0.5000  2.50

***

Entry 4:
Sm2Fe3B4 after structural relaxation, computed with PBE.

Computed properties:
E_form	0.05	eV per atom
uncorrected energy	-6.792	eV per atom
symmetry	Fmmm

a = 4.8424 Å, b = 4.8424 Å, c = 6.5896 Å
α = 101.00°, β = 101.00°, γ = 118.74°
Last column: magnetic moment on the atom in μB.
Atoms (fractional coordinates):
B: 0.7159 0.0468 0.7627  -0.06
B: 0.9532 0.2841 0.2373  -0.06
B: 0.0468 0.7159 0.7627  -0.06
B: 0.2841 0.9532 0.2373  -0.06
Sm: 0.3462 0.3462 0.6924  -0.06
Sm: 0.6538 0.6538 0.3076  -0.06
Fe: 0.0000 0.0000 0.0000  1.19
Fe: 0.5000 0.0000 0.0000  1.15
Fe: 0.0000 0.5000 0.0000  1.15

***

Entry 5:
Sm3Fe3B8 after structural relaxation, computed with PBE.

Computed properties:
E_form	-0.19	eV per atom
uncorrected energy	-6.828	eV per atom
symmetry	Immm

a = 3.1693 Å, b = 7.8586 Å, c = 7.8586 Å
α = 63.75°, β = 78.37°, γ = 78.37°
Last column: magnetic moment on the atom in μB.
Atoms (fractional coordinates):
B: 0.1338 0.1719 0.5604  -0.01
B: 0.6165 0.6529 0.1140  -0.03
B: 0.1338 0.5604 0.1719  -0.01
B: 0.8662 0.4396 0.8281  -0.01
B: 0.3835 0.3471 0.8860  -0.03
B: 0.3835 0.8860 0.3471  -0.03
B: 0.8662 0.8281 0.4396  -0.01
B: 0.6165 0.1140 0.6529  -0.03
Fe: 0.5000 0.0000 0.0000  2.04
Fe: 0.0000 0.8007 0.1993  0.55
Fe: 0.0000 0.1993 0.8007  0.55
Sm: 0.5000 0.5000 0.5000  -0.04
Sm: 0.7736 0.2264 0.2264  -0.02
Sm: 0.2264 0.7736 0.7736  -0.02

***

Entry 6:
SmFeB4 after structural relaxation, computed with PBE.

Computed properties:
E_form	-0.52	eV per atom
uncorrected energy	-7.169	eV per atom
symmetry	Cmmm

a = 3.4358 Å, b = 5.9587 Å, c = 5.9587 Å
α = 104.17°, β = 90.00°, γ = 90.00°
Atoms (fractional coordinates):
B: 0.5000 0.6335 0.6335
B: 0.5000 0.3746 0.0657
B: 0.5000 0.9110 0.0890
B: 0.5000 0.0890 0.9110
B: 0.5000 0.6254 0.9343
B: 0.5000 0.0657 0.3746
B: 0.5000 0.9343 0.6254
B: 0.5000 0.3665 0.3665
Sm: 0.0000 0.3011 0.6989
Sm: 0.0000 0.6989 0.3011
Fe: 0.0000 0.8254 0.8254
Fe: 0.0000 0.1746 0.1746

***

Entry 7:
SmFe12B4 after structural relaxation, computed with PBE.

Computed properties:
E_form	0.09	eV per atom
uncorrected energy	-7.730	eV per atom
symmetry	Im-3

a = 6.3498 Å, b = 6.3498 Å, c = 6.3498 Å
α = 109.47°, β = 109.47°, γ = 109.47°
Last column: magnetic moment on the atom in μB.
Atoms (fractional coordinates):
B: 0.0000 0.5000 0.0000  -0.16
B: 0.5000 0.5000 0.5000  -0.16
B: 0.0000 0.0000 0.5000  -0.16
B: 0.5000 0.0000 0.0000  -0.16
Fe: 0.6594 0.8364 0.1771  2.14
Fe: 0.8229 0.3406 0.1636  2.14
Fe: 0.1771 0.6594 0.8364  2.14
Fe: 0.3406 0.5177 0.1771  2.14
Fe: 0.6594 0.4823 0.8229  2.14
Fe: 0.8229 0.6594 0.4823  2.14
Fe: 0.1771 0.3406 0.5177  2.14
Fe: 0.5177 0.1771 0.3406  2.14
Fe: 0.1636 0.8229 0.3406  2.14
Fe: 0.4823 0.8229 0.6594  2.14
Fe: 0.3406 0.1636 0.8229  2.14
Fe: 0.8364 0.1771 0.6594  2.14
Sm: 0.0000 0.0000 0.0000  -0.22

***

Entry 8:
FeSn2B after structural relaxation, computed with PBE.

Computed properties:
E_form	0.83	eV per atom
uncorrected energy	-4.959	eV per atom
symmetry	I-42d

a = 6.8935 Å, b = 6.8935 Å, c = 5.7570 Å
α = 53.22°, β = 53.22°, γ = 90.00°
Last column: magnetic moment on the atom in μB.
Atoms (fractional coordinates):
Sn: 0.1790 0.6250 0.2500  -0.01
Sn: 0.8750 0.8210 0.7500  -0.01
Sn: 0.5710 0.1250 0.2500  -0.01
Sn: 0.3750 0.4290 0.7500  -0.01
Fe: 0.7500 0.2500 0.5000  2.86
Fe: 0.0000 0.0000 0.0000  2.86
B: 0.2500 0.7500 0.5000  0.02
B: 0.5000 0.5000 0.0000  0.02

***

Entry 9:
Sr2FeB10 after structural relaxation, computed with PBE.

Computed properties:
E_form	-0.32	eV per atom
uncorrected energy	-6.366	eV per atom
symmetry	Pbam

a = 4.2417 Å, b = 5.7418 Å, c = 11.4207 Å
α = 90.00°, β = 90.00°, γ = 90.00°
Last column: magnetic moment on the atom in μB.
Atoms (fractional coordinates):
B: 0.7034 0.1989 0.1127  -0.01
B: 0.0000 0.5335 0.3123  -0.01
B: 0.0000 0.8398 0.3033  0.00
B: 0.0000 0.3718 0.0416  -0.01
B: 0.0000 0.0335 0.1877  -0.01
B: 0.7034 0.3011 0.6127  -0.01
B: 0.0000 0.6282 0.9584  -0.01
B: 0.0000 0.9665 0.8123  -0.01
B: 0.7034 0.6989 0.3873  -0.01
B: 0.2966 0.3011 0.6127  -0.01
B: 0.0000 0.4665 0.6877  -0.01
B: 0.0000 0.1282 0.5416  -0.01
B: 0.0000 0.6602 0.8033  0.00
B: 0.0000 0.1602 0.6967  0.00
B: 0.0000 0.3398 0.1967  0.00
B: 0.7034 0.8011 0.8873  -0.01
B: 0.2966 0.8011 0.8873  -0.01
B: 0.2966 0.1989 0.1127  -0.01
B: 0.0000 0.8718 0.4584  -0.01
B: 0.2966 0.6989 0.3873  -0.01
Sr: 0.5000 0.1894 0.3622  0.00
Sr: 0.5000 0.8106 0.6378  0.00
Sr: 0.5000 0.3106 0.8622  0.00
Sr: 0.5000 0.6894 0.1378  0.00
Fe: 0.0000 0.0000 0.0000  1.61
Fe: 0.0000 0.5000 0.5000  1.61

***

Entry 10:
SrFe3B after structural relaxation, computed with PBE.

Computed properties:
E_form	3.08	eV per atom
uncorrected energy	-3.669	eV per atom
symmetry	Pm-3m

a = 4.7152 Å, b = 4.7152 Å, c = 4.7152 Å
α = 90.00°, β = 90.00°, γ = 90.00°
Last column: magnetic moment on the atom in μB.
Atoms (fractional coordinates):
Sr: 0.0000 0.0000 0.0000  -0.21
B: 0.5000 0.5000 0.5000  -0.02
Fe: 0.0000 0.0000 0.5000  2.46
Fe: 0.0000 0.5000 0.0000  2.59
Fe: 0.5000 0.0000 0.0000  2.74

***

Entry 11:
SrFeB2 after structural relaxation, computed with PBE.

Computed properties:
E_form	1.25	eV per atom
uncorrected energy	-4.622	eV per atom
symmetry	Fm-3m

a = 4.3077 Å, b = 4.3077 Å, c = 4.3077 Å
α = 60.00°, β = 60.00°, γ = 60.00°
Last column: magnetic moment on the atom in μB.
Atoms (fractional coordinates):
B: 0.7500 0.7500 0.7500  -0.11
B: 0.2500 0.2500 0.2500  -0.11
Sr: 0.5000 0.5000 0.5000  -0.02
Fe: 0.0000 0.0000 0.0000  2.53

***

Entry 12:
SrFeB2 after structural relaxation, computed with PBE.

Computed properties:
E_form	0.13	eV per atom
uncorrected energy	-5.742	eV per atom
symmetry	I4_1/amd

a = 4.6930 Å, b = 4.6930 Å, c = 6.7898 Å
α = 69.78°, β = 69.78°, γ = 90.00°
Atoms (fractional coordinates):
B: 0.3750 0.1250 0.2500
B: 0.3750 0.6250 0.7500
B: 0.8750 0.6250 0.7500
B: 0.3750 0.6250 0.2500
Fe: 0.2500 0.7500 0.5000
Fe: 0.5000 0.5000 0.0000
Sr: 0.0000 0.0000 0.0000
Sr: 0.7500 0.2500 0.5000